1.
# GGA-PBE Ac2Cu3Ge4Ru, relaxed
data_Ac2Cu3Ge4Ru
_chemical_formula_sum 'Ac2 Cu3 Ge4 Ru1'
_cell_length_a 4.387
_cell_length_b 4.387
_cell_length_c 10.180
_cell_angle_alpha 90.00
_cell_angle_beta 90.00
_cell_angle_gamma 90.00
_space_group_name_H-M_alt 'P -4 m 2'
_space_group_IT_number 115
loop_
_space_group_symop_operation_xyz
'x,y,z'
'y,-x,-z'
'-x,-y,z'
'-y,x,-z'
'-x,y,z'
'-y,-x,-z'
'x,-y,z'
'y,x,-z'
loop_
_atom_site_label
_atom_site_fract_x
_atom_site_fract_y
_atom_site_fract_z
_atom_site_occupancy
Ac1 0.000 0.500 0.250 1
Cu1 0.000 0.000 0.000 1
Cu2 0.000 0.500 0.626 1
Ge1 0.000 0.000 0.500 1
Ge2 0.000 0.500 0.877 1
Ge3 0.500 0.500 0.500 1
Ru1 0.500 0.500 0.000 1
# **DOS(E_F)**: 5.86 states/eV per cell
# **Calculated total energy**: -5.29 eV/atom
# **ΔH_f (0 K)**: -464 meV per atom

***

2.
# GGA-PBE Ac2CuGeS5, relaxed
data_Ac2CuGeS5
_chemical_formula_sum 'Ac8 Cu4 Ge4 S20'
_cell_length_a 4.242
_cell_length_b 17.306
_cell_length_c 11.570
_cell_angle_alpha 90.00
_cell_angle_beta 90.00
_cell_angle_gamma 90.00
_space_group_name_H-M_alt 'C m c 21'
_space_group_IT_number 36
loop_
_space_group_symop_operation_xyz
'x,y,z'
'-x,-y,z+1/2'
'-x,y,z'
'x,-y,z+1/2'
'x+1/2,y+1/2,z'
'-x+1/2,-y+1/2,z+1/2'
'-x+1/2,y+1/2,z'
'x+1/2,-y+1/2,z+1/2'
loop_
_atom_site_label
_atom_site_fract_x
_atom_site_fract_y
_atom_site_fract_z
_atom_site_occupancy
Ac1 0.000 0.116 0.000 1
Ac2 0.000 0.132 0.620 1
Cu1 0.000 0.242 0.402 1
Ge1 0.000 0.426 0.776 1
S1 0.000 0.046 0.358 1
S2 0.000 0.294 0.970 1
S3 0.000 0.316 0.660 1
S4 0.000 0.358 0.313 1
S5 0.000 0.500 0.100 1
# **DOS(E_F)**: 5.51 states/eV per cell
# **Calculated total energy**: -5.48 eV/atom
# **Formation energy without anion corrections**: -125.6 kJ per mole of atoms

***

3.
# GGA-PBE Ac2CuGeS6, relaxed
data_Ac2CuGeS6
_chemical_formula_sum 'Ac4 Cu2 Ge2 S12'
_cell_length_a 6.304
_cell_length_b 7.457
_cell_length_c 11.395
_cell_angle_alpha 90.00
_cell_angle_beta 123.33
_cell_angle_gamma 90.00
_space_group_name_H-M_alt 'P 1 21/c 1'
_space_group_IT_number 14
loop_
_space_group_symop_operation_xyz
'x,y,z'
'-x,-y,-z'
'-x,y+1/2,-z+1/2'
'x,-y+1/2,z+1/2'
loop_
_atom_site_label
_atom_site_fract_x
_atom_site_fract_y
_atom_site_fract_z
_atom_site_occupancy
Ac1 0.203 0.108 0.246 1
Cu1 0.500 0.000 0.000 1
Ge1 0.000 0.000 0.500 1
S1 0.160 0.180 0.962 1
S2 0.271 0.670 0.965 1
S3 0.329 0.507 0.253 1
# **DOS(E_F)**: 9.88 states/eV per cell
# **Calculated total energy**: -5.32 eV/atom
# **Formation energy without anion corrections**: -110.7 kJ per mole of atoms

***

4.
# GGA-PBE Ac2CuGeSe5, relaxed
data_Ac2CuGeSe5
_chemical_formula_sum 'Ac8 Cu4 Ge4 Se20'
_cell_length_a 4.248
_cell_length_b 17.793
_cell_length_c 12.412
_cell_angle_alpha 90.00
_cell_angle_beta 90.00
_cell_angle_gamma 90.00
_space_group_name_H-M_alt 'C m c 21'
_space_group_IT_number 36
loop_
_space_group_symop_operation_xyz
'x,y,z'
'-x,-y,z+1/2'
'-x,y,z'
'x,-y,z+1/2'
'x+1/2,y+1/2,z'
'-x+1/2,-y+1/2,z+1/2'
'-x+1/2,y+1/2,z'
'x+1/2,-y+1/2,z+1/2'
loop_
_atom_site_label
_atom_site_fract_x
_atom_site_fract_y
_atom_site_fract_z
_atom_site_occupancy
Ac1 0.000 0.117 0.000 1
Ac2 0.000 0.127 0.633 1
Cu1 0.000 0.453 0.719 1
Ge1 0.000 0.190 0.326 1
Se1 0.000 0.017 0.301 1
Se2 0.000 0.295 0.979 1
Se3 0.000 0.313 0.668 1
Se4 0.000 0.339 0.317 1
Se5 0.000 0.490 0.041 1
# **DOS(E_F)**: 21.04 states/eV per cell
# **Calculated total energy**: -5.01 eV/atom
# **Formation energy without anion corrections**: -114.8 kJ per mole of atoms

***

5.
# GGA-PBE Ac3Cu2SiGe6, relaxed
data_Ac3Cu2SiGe6
_chemical_formula_sum 'Ac3 Cu2 Si1 Ge6'
_cell_length_a 6.3800
_cell_length_b 6.3800
_cell_length_c 8.3299
_cell_angle_alpha 90.00
_cell_angle_beta 90.00
_cell_angle_gamma 120.00
_space_group_name_H-M_alt 'P -3 m 1'
_space_group_IT_number 164
_space_group_name_Hall '-P 3 2"'
loop_
_atom_site_label
_atom_site_fract_x
_atom_site_fract_y
_atom_site_fract_z
_atom_site_occupancy
Ac1 0.0000 0.0000 0.0000 1
Ac2 0.3333 0.6667 0.6488 1
Cu1 0.3333 0.6667 0.0538 1
Si1 0.0000 0.0000 0.5000 1
Ge1 0.1910 0.3820 0.2978 1
# **DOS(E_F)**: 7.04 states/eV per cell
# **Calculated total energy**: -4.63 eV/atom
# **Formation energy without anion corrections**: -15.5 kJ per mole of atoms

***

6.
# GGA-PBE Ac2Cu4Si3Ge, relaxed
data_Ac2Cu4Si3Ge
_chemical_formula_sum 'Ac2 Cu4 Si3 Ge1'
_cell_length_a 4.287
_cell_length_b 4.287
_cell_length_c 10.137
_cell_angle_alpha 90.00
_cell_angle_beta 90.00
_cell_angle_gamma 90.00
_space_group_name_H-M_alt 'P -4 m 2'
_space_group_IT_number 115
loop_
_space_group_symop_operation_xyz
'x,y,z'
'y,-x,-z'
'-x,-y,z'
'-y,x,-z'
'-x,y,z'
'-y,-x,-z'
'x,-y,z'
'y,x,-z'
loop_
_atom_site_label
_atom_site_fract_x
_atom_site_fract_y
_atom_site_fract_z
_atom_site_occupancy
Ac1 0.000 0.500 0.245 1
Cu1 0.000 0.000 0.000 1
Cu2 0.000 0.500 0.629 1
Cu3 0.500 0.500 0.000 1
Si1 0.000 0.500 0.876 1
Si2 0.500 0.500 0.500 1
Ge1 0.000 0.000 0.500 1
# **DOS(E_F)**: 3.72 states/eV per cell
# **Calculated total energy**: -5.01 eV/atom
# **Formation energy without anion corrections**: -44.7 kJ per mole of atoms

***

7.
# GGA-PBE AcSm2Cu2Ge2, relaxed
data_AcSm2Cu2Ge2
_chemical_formula_sum 'Ac3 Sm6 Cu6 Ge6'
_cell_length_a 4.3876
_cell_length_b 4.3876
_cell_length_c 29.9124
_cell_angle_alpha 90.00
_cell_angle_beta 90.00
_cell_angle_gamma 120.00
_space_group_name_H-M_alt 'R -3 m'
_space_group_IT_number 166
_space_group_name_Hall '-R 3 2"'
loop_
_atom_site_label
_atom_site_fract_x
_atom_site_fract_y
_atom_site_fract_z
_atom_site_occupancy
Ac1 0.0000 0.0000 0.0000 1
Sm1 0.0000 0.0000 0.1287 1
Cu1 0.0000 0.0000 0.4085 1
Ge1 0.0000 0.0000 0.2578 1
# **DOS(E_F)**: 11.75 states/eV per cell
# **Calculated total energy**: -4.90 eV/atom
# **ΔH_f (0 K)**: -478 meV per atom

***

8.
# GGA-PBE AcSmCu2Ge2, relaxed
data_AcSmCu2Ge2
_chemical_formula_sum 'Ac1 Sm1 Cu2 Ge2'
_cell_length_a 4.3519
_cell_length_b 4.3519
_cell_length_c 8.0935
_cell_angle_alpha 90.00
_cell_angle_beta 90.00
_cell_angle_gamma 120.00
_space_group_name_H-M_alt 'P -3 m 1'
_space_group_IT_number 164
_space_group_name_Hall '-P 3 2"'
loop_
_atom_site_label
_atom_site_fract_x
_atom_site_fract_y
_atom_site_fract_z
_atom_site_occupancy
Ac1 0.0000 0.0000 0.0000 1
Sm1 0.0000 0.0000 0.5000 1
Cu1 0.3333 0.6667 0.7222 1
Ge1 0.3333 0.6667 0.2699 1
# **DOS(E_F)**: 1.59 states/eV per cell
# **Calculated total energy**: -5.01 eV/atom
# **ΔH_f (0 K)**: -639 meV per atom

***

9.
# GGA-PBE AcSmCuGe, relaxed
data_AcSmCuGe
_chemical_formula_sum 'Ac4 Sm4 Cu4 Ge4'
_cell_length_a 7.468
_cell_length_b 7.468
_cell_length_c 7.468
_cell_angle_alpha 90.00
_cell_angle_beta 90.00
_cell_angle_gamma 90.00
_space_group_name_H-M_alt 'F -4 3 m'
_space_group_IT_number 216
_space_group_name_Hall 'F -4 2 3'
loop_
_atom_site_label
_atom_site_fract_x
_atom_site_fract_y
_atom_site_fract_z
_atom_site_occupancy
Ac1 0.000 0.000 0.000 1
Sm1 0.000 0.000 0.500 1
Cu1 0.250 0.250 0.250 1
Ge1 0.250 0.250 0.750 1
# **DOS(E_F)**: 17.19 states/eV per cell
# **Calculated total energy**: -4.76 eV/atom
# **ΔH_f (0 K)**: -374 meV per atom

***

10.
# GGA-PBE Ac2Cu3Sn4Ge, relaxed
data_Ac2Cu3Sn4Ge
_chemical_formula_sum 'Ac2 Cu3 Sn4 Ge1'
_cell_length_a 4.804
_cell_length_b 4.804
_cell_length_c 10.371
_cell_angle_alpha 90.00
_cell_angle_beta 90.00
_cell_angle_gamma 90.00
_space_group_name_H-M_alt 'P -4 m 2'
_space_group_IT_number 115
loop_
_space_group_symop_operation_xyz
'x,y,z'
'y,-x,-z'
'-x,-y,z'
'-y,x,-z'
'-x,y,z'
'-y,-x,-z'
'x,-y,z'
'y,x,-z'
loop_
_atom_site_label
_atom_site_fract_x
_atom_site_fract_y
_atom_site_fract_z
_atom_site_occupancy
Ac1 0.000 0.500 0.241 1
Cu1 0.000 0.000 0.000 1
Cu2 0.000 0.500 0.623 1
Sn1 0.000 0.000 0.500 1
Sn2 0.000 0.500 0.871 1
Sn3 0.500 0.500 0.500 1
Ge1 0.500 0.500 0.000 1
# **DOS(E_F)**: 4.21 states/eV per cell
# **Calculated total energy**: -4.50 eV/atom
# **ΔH_f (0 K)**: -386 meV per atom

***

11.
# GGA-PBE Ac2Cu4Sn3Ge, relaxed
data_Ac2Cu4Sn3Ge
_chemical_formula_sum 'Ac2 Cu4 Sn3 Ge1'
_cell_length_a 4.576
_cell_length_b 4.576
_cell_length_c 10.585
_cell_angle_alpha 90.00
_cell_angle_beta 90.00
_cell_angle_gamma 90.00
_space_group_name_H-M_alt 'P -4 m 2'
_space_group_IT_number 115
loop_
_space_group_symop_operation_xyz
'x,y,z'
'y,-x,-z'
'-x,-y,z'
'-y,x,-z'
'-x,y,z'
'-y,-x,-z'
'x,-y,z'
'y,x,-z'
loop_
_atom_site_label
_atom_site_fract_x
_atom_site_fract_y
_atom_site_fract_z
_atom_site_occupancy
Ac1 0.000 0.500 0.248 1
Cu1 0.000 0.000 0.000 1
Cu2 0.000 0.500 0.624 1
Cu3 0.500 0.500 0.000 1
Sn1 0.000 0.500 0.872 1
Sn2 0.500 0.500 0.500 1
Ge1 0.000 0.000 0.500 1
# **DOS(E_F)**: 4.00 states/eV per cell
# **Calculated total energy**: -4.56 eV/atom
# **ΔH_f (0 K)**: -440 meV per atom

***

12.
# GGA-PBE Ac2Cu3SnGe4, relaxed
data_Ac2Cu3SnGe4
_chemical_formula_sum 'Ac2 Cu3 Sn1 Ge4'
_cell_length_a 4.489
_cell_length_b 4.489
_cell_length_c 10.481
_cell_angle_alpha 90.00
_cell_angle_beta 90.00
_cell_angle_gamma 90.00
_space_group_name_H-M_alt 'P -4 m 2'
_space_group_IT_number 115
loop_
_space_group_symop_operation_xyz
'x,y,z'
'y,-x,-z'
'-x,-y,z'
'-y,x,-z'
'-x,y,z'
'-y,-x,-z'
'x,-y,z'
'y,x,-z'
loop_
_atom_site_label
_atom_site_fract_x
_atom_site_fract_y
_atom_site_fract_z
_atom_site_occupancy
Ac1 0.000 0.500 0.235 1
Cu1 0.000 0.500 0.885 1
Cu2 0.500 0.500 0.500 1
Sn1 0.000 0.000 0.500 1
Ge1 0.000 0.000 0.000 1
Ge2 0.000 0.500 0.649 1
Ge3 0.500 0.500 0.000 1
# **DOS(E_F)**: 2.87 states/eV per cell
# **Calculated total energy**: -4.70 eV/atom
# **ΔH_f (0 K)**: -406 meV per atom